{
  "formula": "Mn2P2O7",
  "functional": "PBE+U",
  "state": "relaxed",
  "dos_ef_per_ev_fu": 0.00,
  "total_energy_ev_per_atom": -7.64,
  "rho_g_cm3": 3.59,
  "total_magnetization_mub_per_cell": 10.0,
  "lattice_angstrom": [[3.357, -4.352, 0.000], [3.357, 4.352, 0.000], [-1.012, 0.000, 4.491]],
  "species": ["Mn", "Mn", "P", "P", "O", "O", "O", "O", "O", "O", "O"],
  "fractional_positions": [[0.000, 0.000, 0.000], [0.619, 0.381, 0.000], [0.094, 0.475, 0.592], [0.525, 0.906, 0.408], [0.231, 0.319, 0.774], [0.310, 0.690, 0.500], [0.387, 0.062, 0.226], [0.681, 0.769, 0.226], [0.682, 0.063, 0.707], [0.937, 0.318, 0.293], [0.938, 0.613, 0.774]]
}